# 1
# YTm2Pt3, optimized geometry, DFT PBE
data_YTm2Pt3
_chemical_formula_sum 'Y2 Tm4 Pt6'
_cell_length_a 4.920
_cell_length_b 14.774
_cell_length_c 3.436
_cell_angle_alpha 90.00
_cell_angle_beta 90.00
_cell_angle_gamma 90.00
_symmetry_space_group_name_H-M 'C m m m'
_symmetry_Int_Tables_number 65
_symmetry_space_group_name_Hall '-C 2 2'
loop_
_atom_site_label
_atom_site_fract_x
_atom_site_fract_y
_atom_site_fract_z
_atom_site_occupancy
Y1 0.000 0.000 0.000 1
Tm1 0.000 0.333 0.000 1
Pt1 0.000 0.171 0.500 1
Pt2 0.000 0.500 0.500 1
# * energy of formation: -7.5 eV/f.u.


# 2
# KCdIn2Os, optimized geometry, DFT PBE
data_KCdIn2Os
_chemical_formula_sum 'K1 Cd1 In2 Os1'
_cell_length_a 5.219
_cell_length_b 5.219
_cell_length_c 5.373
_cell_angle_alpha 90.00
_cell_angle_beta 90.00
_cell_angle_gamma 90.00
_symmetry_space_group_name_H-M 'P 4/m m m'
_symmetry_Int_Tables_number 123
_symmetry_space_group_name_Hall '-P 4 2'
loop_
_atom_site_label
_atom_site_fract_x
_atom_site_fract_y
_atom_site_fract_z
_atom_site_occupancy
K1 0.000 0.000 0.000 1
Cd1 0.500 0.500 0.000 1
In1 0.000 0.500 0.500 1
Os1 0.500 0.500 0.500 1
# * energy of formation: 0.4 eV/f.u.


# 3
# SrLi2NdAs2, optimized geometry, DFT PBE
data_SrLi2NdAs2
_chemical_formula_sum 'Sr1 Li2 Nd1 As2'
_cell_length_a 4.3884
_cell_length_b 4.3884
_cell_length_c 8.1239
_cell_angle_alpha 90.00
_cell_angle_beta 90.00
_cell_angle_gamma 120.00
_symmetry_space_group_name_H-M 'P -3 m 1'
_symmetry_Int_Tables_number 164
_symmetry_space_group_name_Hall '-P 3 2"'
loop_
_atom_site_label
_atom_site_fract_x
_atom_site_fract_y
_atom_site_fract_z
_atom_site_occupancy
Sr1 0.0000 0.0000 0.0000 1
Li1 0.3333 0.6667 0.7382 1
Nd1 0.0000 0.0000 0.5000 1
As1 0.3333 0.6667 0.2631 1
# * energy of formation: -6.0 eV/f.u.


# 4
# PmNdDyY, optimized geometry, DFT PBE
data_PmNdDyY
_chemical_formula_sum 'Pm2 Nd2 Dy2 Y2'
_cell_length_a 5.118
_cell_length_b 5.118
_cell_length_c 10.181
_cell_angle_alpha 90.00
_cell_angle_beta 90.00
_cell_angle_gamma 90.00
_symmetry_space_group_name_H-M 'I -4 m 2'
_symmetry_Int_Tables_number 119
_symmetry_space_group_name_Hall 'I -4 -2'
loop_
_atom_site_label
_atom_site_fract_x
_atom_site_fract_y
_atom_site_fract_z
_atom_site_occupancy
Pm1 0.000 0.000 0.000 1
Nd1 0.000 0.500 0.250 1
Dy1 0.000 0.500 0.750 1
Y1 0.000 0.000 0.500 1
# * energy of formation: 0.1 eV/f.u.
# * offset from the most stable computed form: 0.000 eV per atom


# 5
# Tl2TeMoAu, optimized geometry, DFT PBE
data_Tl2TeMoAu
_chemical_formula_sum 'Tl2 Te1 Mo1 Au1'
_cell_length_a 5.542
_cell_length_b 5.542
_cell_length_c 5.061
_cell_angle_alpha 90.00
_cell_angle_beta 90.00
_cell_angle_gamma 90.00
_symmetry_space_group_name_H-M 'P 4/m m m'
_symmetry_Int_Tables_number 123
_symmetry_space_group_name_Hall '-P 4 2'
loop_
_atom_site_label
_atom_site_fract_x
_atom_site_fract_y
_atom_site_fract_z
_atom_site_occupancy
Tl1 0.000 0.500 0.000 1
Te1 0.000 0.000 0.500 1
Mo1 0.000 0.000 0.000 1
Au1 0.500 0.500 0.500 1
# * raw formation energy: 2.7 eV/f.u.


# 6
# Cu2RuCl, optimized geometry, DFT PBE
data_Cu2RuCl
_chemical_formula_sum 'Cu4 Ru2 Cl2'
_cell_length_a 2.804
_cell_length_b 4.956
_cell_length_c 8.324
_cell_angle_alpha 90.00
_cell_angle_beta 90.00
_cell_angle_gamma 90.00
_symmetry_space_group_name_H-M 'C m m 2'
_symmetry_Int_Tables_number 35
loop_
_symmetry_equiv_pos_as_xyz
'x,y,z'
'-x,-y,z'
'-x,y,z'
'x,-y,z'
'x+1/2,y+1/2,z'
'-x+1/2,-y+1/2,z'
'-x+1/2,y+1/2,z'
'x+1/2,-y+1/2,z'
loop_
_atom_site_label
_atom_site_fract_x
_atom_site_fract_y
_atom_site_fract_z
_atom_site_occupancy
Cu1 0.000 0.000 0.000 1
Cu2 0.000 0.500 0.241 1
Ru1 0.000 0.000 0.498 1
Cl1 0.000 0.500 0.739 1
# * raw formation energy: 1.9 eV/f.u.
# * offset from the most stable computed form: 0.150 eV per atom


Total moment in μB/f.u., matching the order above: 0.00; 0.00; 0.00; 0.00; 0.62; 0.00